VASP calculation (PBE) on a relaxed structure of Ta5Si.

Cell lengths 10.717, 3.390, 5.999 Å; angles 90.00, 105.37, 90.00 degrees
Space group C2/m (No. 12)
One atom of each set of equivalent atoms:
Ta1 0.000 0.000 0.000 [2 per cell]
Ta2 0.157 0.500 0.340 [4 per cell]
Ta3 0.166 0.500 0.819 [4 per cell]
Si1 0.000 0.000 0.500 [2 per cell]

Output
E above lowest polymorph, kJ/mol of formula units: 15.4
E_form (uncorrected), eV per formula unit: -0.7